[1]
First-principles (PBE) data for a geometry-optimized PaMoIr structure, as listed in OQMD via LeMat-Bulk.

Cell: 6.3427 6.3427 6.3427 Å, 90.00 90.00 90.00°
Last column: nearest neighbours and their distance in Å.
Space group F-43m (No. 216)
Inequivalent atoms, fractional coordinates:
Pa 0.0000 0.0000 0.0000 (multiplicity 4)  4 Mo 2.75, 4 Ir 2.75
Mo 0.2500 0.2500 0.2500 (multiplicity 4)  4 Pa 2.75
Ir 0.2500 0.2500 0.7500 (multiplicity 4)  4 Pa 2.75

Calculated formation energy ... 0.407 eV per atom
Spin magnetization ... 0.71 μB per formula unit
E_tot ... -111.9 eV for the cell shown
Relative energy among the computed polymorphs ... 0.76 eV per formula unit


[2]
First-principles (PBE) data for a geometry-optimized GdFeNi2 structure, as listed in OQMD via LeMat-Bulk.

Cell: 5.0259 5.0259 24.2101 Å, 90.00 90.00 120.00°
Last column: nearest neighbours and their distance in Å.
Space group R-3m (No. 166, hexagonal axes)
Inequivalent atoms, fractional coordinates:
Gd 0.0000 0.0000 0.0000 (multiplicity 3)  6 Fe 2.90, 12 Ni 3.20
Gd 0.0000 0.0000 0.1387 (multiplicity 6)  9 Ni 2.86-3.09, 3 Fe 2.98, 3 Gd 3.20
Fe 0.0000 0.0000 0.3332 (multiplicity 6)  6 Ni 2.46
Fe 0.0000 0.0000 0.5000 (multiplicity 3)  6 Ni 2.51
Ni 0.0005 0.5003 0.0819 (multiplicity 18)  3 Fe 2.46-2.51, 4 Ni 2.51-2.52

Calculated formation energy ... -0.258 eV per atom
Spin magnetization ... 2.86 μB per formula unit
E_tot ... -226.2 eV for the cell shown


[3]
First-principles (PBE) data for a geometry-optimized DyRe4Ag3O12 structure, as listed in OQMD via LeMat-Bulk.

Cell: 7.7379 7.7379 7.7379 Å, 90.00 90.00 90.00°
Last column: nearest neighbours and their distance in Å.
Space group Im-3 (No. 204)
Inequivalent atoms, fractional coordinates:
Dy 0.0000 0.0000 0.0000 (multiplicity 2)  12 O 2.62
Re 0.2500 0.2500 0.2500 (multiplicity 8)  6 O 1.96
Ag 0.0000 0.0000 0.5000 (multiplicity 6)  4 O 2.42
O 0.0000 0.2088 0.2667 (multiplicity 24)  2 Re 1.96

Spin magnetization ... 0.02 μB per formula unit
E_tot ... -293.1 eV for the cell shown


[4]
First-principles (PBE) data for a geometry-optimized LiCdAgGe structure, as listed in OQMD via LeMat-Bulk.

Cell: 6.6160 6.6160 6.6160 Å, 90.00 90.00 90.00°
Last column: nearest neighbours and their distance in Å.
Space group F-43m (No. 216)
Inequivalent atoms, fractional coordinates:
Li 0.0000 0.0000 0.0000 (multiplicity 4)  4 Cd 2.86, 4 Ag 2.86
Cd 0.2500 0.2500 0.7500 (multiplicity 4)  4 Ge 2.86, 4 Li 2.86
Ag 0.2500 0.2500 0.2500 (multiplicity 4)  4 Ge 2.86, 4 Li 2.86
Ge 0.0000 0.0000 0.5000 (multiplicity 4)  4 Ag 2.86, 4 Cd 2.86

E_tot ... -42.7 eV for the cell shown
Relative energy among the computed polymorphs ... 0.00 eV per formula unit


[5]
First-principles (PBE) data for a geometry-optimized ErBe2 structure, as listed in OQMD via LeMat-Bulk.

Cell: 13.3786 13.3786 13.3786 Å, 90.00 90.00 90.00°
Last column: nearest neighbours and their distance in Å.
Space group Fd-3m (No. 227, origin choice 2)
Inequivalent atoms, fractional coordinates:
Er 0.1250 0.1250 0.1250 (multiplicity 8)  4 Be 2.90
Be 0.0000 0.0000 0.0000 (multiplicity 16)  2 Er 2.90

Spin magnetization ... 2.00 μB per formula unit
E_tot ... -34.9 eV for the cell shown


[6]
First-principles (PBE) data for a geometry-optimized Li4TlCd2In structure, as listed in OQMD via LeMat-Bulk.

Cell: 4.7819 4.7819 6.6933 Å, 90.00 90.00 90.00°
Last column: nearest neighbours and their distance in Å.
Space group P-4m2 (No. 115)
Inequivalent atoms, fractional coordinates:
Li 0.0000 0.0000 0.0000 (multiplicity 1)  4 Cd 2.89, 4 Li 2.92
Li 0.0000 0.5000 0.2501 (multiplicity 2)  4 Li 2.92, 2 Tl 2.92, 2 In 2.92
Li 0.5000 0.5000 0.5000 (multiplicity 1)  4 Li 2.92, 4 Cd 2.94
Tl 0.0000 0.0000 0.5000 (multiplicity 1)  4 Li 2.92, 4 Cd 2.94
Cd 0.0000 0.5000 0.7567 (multiplicity 2)  2 In 2.89, 4 Li 2.89-2.94, 2 Tl 2.94
In 0.5000 0.5000 0.0000 (multiplicity 1)  4 Cd 2.89, 4 Li 2.92

E_tot ... -16.6 eV for the cell shown


E_tot of number 2 (GdFeNi2)?
-226.2 eV for the cell shown


Copy entry 5 word for word.
First-principles (PBE) data for a geometry-optimized ErBe2 structure, as listed in OQMD via LeMat-Bulk.

Cell: 13.3786 13.3786 13.3786 Å, 90.00 90.00 90.00°
Last column: nearest neighbours and their distance in Å.
Space group Fd-3m (No. 227, origin choice 2)
Inequivalent atoms, fractional coordinates:
Er 0.1250 0.1250 0.1250 (multiplicity 8)  4 Be 2.90
Be 0.0000 0.0000 0.0000 (multiplicity 16)  2 Er 2.90

Spin magnetization ... 2.00 μB per formula unit
E_tot ... -34.9 eV for the cell shown


Which value of E_tot does entry 2 give?
-226.2 eV for the cell shown


E_tot of number 5 (ErBe2)?
-34.9 eV for the cell shown